DFT (GGA-PBE) results for a relaxed structure of Sr2HgPb.

a = 5.731 Å, b = 5.731 Å, c = 5.731 Å
α = 60.00°, β = 60.00°, γ = 60.00°
Positions (direct):
Sr 0.000 0.000 0.000
Sr 0.250 0.250 0.250
Hg 0.500 0.500 0.500
Pb 0.750 0.750 0.750

## Properties
electronic total energy: -2.07 eV/atom